Record 1
Crystalline YMgZn at its relaxed geometry, computed with GGA-PBE.

Results
Energy above the lowest structure with this stoichiometry, eV/atom: 0.177
Total moment, μB per atom: 0.115

Unit cell a=7.899 b=7.899 c=3.964 alpha=90.00 beta=90.00 gamma=120.00
Last column: magnetic moment on the atom in μB.
Atoms (fractional coordinates):
1 Mg 0.000 0.603 0.500  0.01
2 Mg 0.603 0.000 0.500  0.01
3 Mg 0.397 0.397 0.500  0.01
4 Y 0.268 0.000 0.000  0.12
5 Y 0.732 0.732 0.000  0.14
6 Y 0.000 0.268 0.000  0.10
7 Zn 0.000 0.000 0.500  0.01
8 Zn 0.667 0.333 0.000  0.01
9 Zn 0.333 0.667 0.000  0.01

Record 2
Crystalline YMgZn at its relaxed geometry, computed with GGA-PBE.

Results
Energy above the lowest structure with this stoichiometry, eV/atom: 0.134
Total moment, μB per atom: 0.020

Unit cell a=4.839 b=4.836 c=10.143 alpha=90.04 beta=90.00 gamma=59.98
Atoms (fractional coordinates):
1 Y 0.863 0.273 0.411
2 Y 0.863 0.273 0.777
3 Y 0.197 0.607 0.594
4 Mg 0.197 0.606 0.225
5 Mg 0.530 0.940 0.965
6 Mg 0.863 0.273 0.093
7 Zn 0.530 0.939 0.587
8 Zn 0.530 0.940 0.282
9 Zn 0.197 0.607 0.920

Record 3
Crystalline YMgZn at its relaxed geometry, computed with GGA-PBE.

Results
Energy above the lowest structure with this stoichiometry, eV/atom: 0.201
Total moment, μB per atom: 0.014

Unit cell a=4.810 b=4.810 c=10.055 alpha=90.00 beta=90.00 gamma=120.00
Atoms (fractional coordinates):
1 Zn 0.000 0.000 0.131
2 Zn 0.667 0.333 0.156
3 Zn 0.667 0.333 0.514
4 Y 0.333 0.667 0.302
5 Y 0.000 0.000 0.740
6 Y 0.333 0.667 0.982
7 Mg 0.333 0.667 0.617
8 Mg 0.667 0.333 0.835
9 Mg 0.000 0.000 0.436

no.,E (eV per atom)
1,-3.20
2,-3.25
3,-3.18